(1)
Below is a relaxed Na2HPd crystal, with properties calculated at the PBE level.

Output
Its symmetry is Fm-3m. The density of states at the Fermi level is 0.52 states/eV/atom. The total energy comes out at -9.76 eV for the cell shown. The energy above the most stable polymorph in this dataset comes out at 0.5545 eV/atom.

Cell lengths 4.7213, 4.7213, 4.7213 Å; angles 60.00, 60.00, 60.00 degrees
Last column: nearest neighbours and their distance in Å.
Fractional positions:
Na: 0.2500 0.2500 0.2500  4 H 2.89, 4 Pd 2.89
Na: 0.7500 0.7500 0.7500  4 H 2.89, 4 Pd 2.89
Pd: 0.5000 0.5000 0.5000  8 Na 2.89
H: 0.0000 0.0000 0.0000  8 Na 2.89

***

(2)
Below is a relaxed GeSbRuI2 crystal, with properties calculated at the PBE level.

Output
Its symmetry is P4/mmm. The density of states at the Fermi level is 1.21 states/eV/atom. The uncorrected formation energy comes out at 587 kJ/mol of formula units. The total energy comes out at -15.03 eV for the cell shown. The energy above the most stable polymorph in this dataset comes out at 0.5837 eV/atom.

Cell lengths 5.5516, 5.5516, 5.5567 Å; angles 90.00, 90.00, 90.00 degrees
Last column: nearest neighbours and their distance in Å.
Fractional positions:
I: 0.0000 0.5000 0.0000  2 Ge 2.78
I: 0.5000 0.0000 0.0000  2 Ge 2.78
Sb: 0.0000 0.0000 0.5000  2 Ge 2.78
Ge: 0.0000 0.0000 0.0000  4 I 2.78, 2 Sb 2.78
Ru: 0.5000 0.5000 0.5000  4 Sb 3.93, 8 I 3.93

***

Q: Look up the total energy of the first one.
A: -9.76 eV for the cell shown